# 1
Material: Pr3Hg3PdPtAu
Method: DFT, GGA-PBE
State: optimized geometry

Lattice parameters (Å, degrees): 7.978 7.978 3.931 90.00 90.00 120.00
Sites, in units of the cell vectors:
1 Pr 0.014 0.407 0.000
2 Pr 0.393 0.986 0.000
3 Pr 0.593 0.607 0.000
4 Hg 0.260 0.259 0.500
5 Hg 0.741 0.001 0.500
6 Hg 0.999 0.740 0.500
7 Pd 0.000 0.000 0.000
8 Pt 0.333 0.667 0.500
9 Au 0.667 0.333 0.500

Computed properties:
Its total magnetization is 0.00 μB/cell. The calculation puts the energy of formation at -736 meV per atom.

=====

# 2
Material: NaThBi
Method: DFT, GGA-PBE
State: optimized geometry

Lattice parameters (Å, degrees): 5.333 5.333 5.333 60.00 60.00 60.00
Sites, in units of the cell vectors:
1 Na 0.000 0.000 0.000
2 Th 0.750 0.750 0.750
3 Bi 0.500 0.500 0.500

Computed properties:
For the uncorrected energy, the calculation gives -11.914 eV for the cell shown. Its total magnetization is 0.01 μB/cell.

=====

# 3
Material: HfAl4Ir5
Method: DFT, GGA-PBE
State: optimized geometry

Lattice parameters (Å, degrees): 3.000 3.000 16.103 90.00 90.00 90.00
Sites, in units of the cell vectors:
1 Hf 0.000 0.000 0.000
2 Al 0.000 0.000 0.213
3 Al 0.000 0.000 0.405
4 Al 0.000 0.000 0.595
5 Al 0.000 0.000 0.787
6 Ir 0.500 0.500 0.120
7 Ir 0.500 0.500 0.312
8 Ir 0.500 0.500 0.500
9 Ir 0.500 0.500 0.688
10 Ir 0.500 0.500 0.880

Computed properties:
For the uncorrected energy, the calculation gives -78.880 eV for the cell shown. Its total magnetization is 0.01 μB/cell.

=====

# 4
Material: Tb2YAgHg3Au2
Method: DFT, GGA-PBE
State: optimized geometry

Lattice parameters (Å, degrees): 3.764 7.977 7.977 119.99 90.00 90.00
Sites, in units of the cell vectors:
1 Tb 0.000 0.202 0.798
2 Tb 0.000 0.798 0.202
3 Y 0.000 0.604 0.604
4 Ag 0.000 0.201 0.201
5 Hg 0.500 0.202 0.472
6 Hg 0.500 0.472 0.202
7 Hg 0.500 0.931 0.931
8 Au 0.500 0.535 0.868
9 Au 0.500 0.868 0.535

Computed properties:
Its total magnetization is 0.01 μB/cell. The calculation puts the energy of formation at -590 meV per atom.

=====

# 5
Material: Te2Pd3
Method: DFT, GGA-PBE
State: optimized geometry

Lattice parameters (Å, degrees): 9.119 9.119 9.119 157.43 157.43 32.13
Sites, in units of the cell vectors:
1 Te 0.148 0.148 0.000
2 Te 0.852 0.852 0.000
3 Pd 0.000 0.000 0.000
4 Pd 0.412 0.412 0.000
5 Pd 0.588 0.588 0.000

Computed properties:
For the uncorrected energy, the calculation gives -23.180 eV for the cell shown.

=====

# 6
Material: SmScW
Method: DFT, GGA-PBE
State: optimized geometry

Lattice parameters (Å, degrees): 4.750 4.750 4.750 60.00 60.00 60.00
Sites, in units of the cell vectors:
1 Sm 0.000 0.000 0.000
2 Sc 0.500 0.500 0.500
3 W 0.750 0.750 0.750

Computed properties:
Its total magnetization is 0.00 μB/cell. The calculation puts the energy of formation at 870 meV per atom.

=====

# 7
Material: GdSc3Pb2C2
Method: DFT, GGA-PBE
State: optimized geometry

Lattice parameters (Å, degrees): 3.467 3.467 15.503 90.00 90.00 120.00
Sites, in units of the cell vectors:
1 Gd 0.000 0.000 0.000
2 Sc 0.000 0.000 0.346
3 Sc 0.333 0.667 0.500
4 Sc 0.333 0.667 0.834
5 Pb 0.000 0.000 0.666
6 Pb 0.333 0.667 0.181
7 C 0.667 0.333 0.423
8 C 0.667 0.333 0.909

Computed properties:
For the uncorrected energy, the calculation gives -53.855 eV for the cell shown. Its total magnetization is 0.00 μB/cell.

=====

# 8
Material: FeCoGe2
Method: DFT, GGA-PBE
State: optimized geometry

Lattice parameters (Å, degrees): 4.254 4.254 4.254 60.00 60.00 60.00
Sites, in units of the cell vectors:
1 Fe 0.000 0.000 0.000
2 Co 0.750 0.750 0.750
3 Ge 0.250 0.250 0.250
4 Ge 0.500 0.500 0.500

Computed properties:
For the uncorrected energy, the calculation gives -23.438 eV for the cell shown. Its total magnetization is 2.80 μB/cell.

=====

# 9
Material: LaTaPd
Method: DFT, GGA-PBE
State: optimized geometry

Lattice parameters (Å, degrees): 4.763 4.763 4.763 60.00 60.00 60.00
Sites, in units of the cell vectors:
1 La 0.000 0.000 0.000
2 Ta 0.500 0.500 0.500
3 Pd 0.250 0.250 0.250

Computed properties:
Its total magnetization is 1.40 μB/cell. The calculation puts the energy of formation at 450 meV per atom.

=====

# 10
Material: ThTcI
Method: DFT, GGA-PBE
State: optimized geometry

Lattice parameters (Å, degrees): 4.219 4.219 12.860 99.64 99.64 59.98
Sites, in units of the cell vectors:
1 Th 0.055 0.055 0.161
2 Th 0.945 0.945 0.839
3 Tc 0.342 0.342 0.025
4 Tc 0.658 0.658 0.975
5 I 0.217 0.217 0.658
6 I 0.783 0.783 0.342

Computed properties:
For the uncorrected energy, the calculation gives -42.649 eV for the cell shown. Its total magnetization is 0.02 μB/cell.

=====

# 11
Material: ErAlNi
Method: DFT, GGA-PBE
State: optimized geometry

Lattice parameters (Å, degrees): 4.551 4.551 4.551 60.00 60.00 60.00
Sites, in units of the cell vectors:
1 Er 0.000 0.000 0.000
2 Al 0.750 0.750 0.750
3 Ni 0.250 0.250 0.250

Computed properties:
For the uncorrected energy, the calculation gives -12.618 eV for the cell shown. Its total magnetization is 0.00 μB/cell.

=====

# 12
Material: Al7W5
Method: DFT, GGA-PBE
State: optimized geometry

Lattice parameters (Å, degrees): 5.210 5.210 16.541 90.00 90.00 120.00
Sites, in units of the cell vectors:
1 Al 0.160 0.321 0.250
2 Al 0.160 0.840 0.250
3 Al 0.321 0.160 0.750
4 Al 0.333 0.667 0.128
5 Al 0.333 0.667 0.372
6 Al 0.333 0.667 0.647
7 Al 0.333 0.667 0.853
8 Al 0.667 0.333 0.147
9 Al 0.667 0.333 0.353
10 Al 0.667 0.333 0.628
11 Al 0.667 0.333 0.872
12 Al 0.679 0.840 0.250
13 Al 0.840 0.160 0.750
14 Al 0.840 0.679 0.750
15 W 0.000 0.000 0.098
16 W 0.000 0.000 0.402
17 W 0.000 0.000 0.598
18 W 0.000 0.000 0.902
19 W 0.000 0.500 0.000
20 W 0.000 0.500 0.500
21 W 0.500 0.000 0.000
22 W 0.500 0.000 0.500
23 W 0.500 0.500 0.000
24 W 0.500 0.500 0.500

Computed properties:
For the uncorrected energy, the calculation gives -177.575 eV for the cell shown. Its total magnetization is 0.00 μB/cell.

=====

# 13
Material: AlTl2Hg
Method: DFT, GGA-PBE
State: optimized geometry

Lattice parameters (Å, degrees): 5.272 5.272 5.272 60.00 60.00 60.00
Sites, in units of the cell vectors:
1 Al 0.000 0.000 0.000
2 Tl 0.500 0.500 0.500
3 Tl 0.750 0.750 0.750
4 Hg 0.250 0.250 0.250

Computed properties:
For the uncorrected energy, the calculation gives -7.944 eV for the cell shown.

=====

# 14
Material: CsGdHgTe3
Method: DFT, GGA-PBE
State: optimized geometry

Lattice parameters (Å, degrees): 9.621 4.561 11.586 90.00 111.11 90.00
Sites, in units of the cell vectors:
1 Cs 0.249 0.250 0.215
2 Cs 0.751 0.750 0.785
3 Gd 0.180 0.750 0.635
4 Gd 0.820 0.250 0.365
5 Hg 0.417 0.250 0.878
6 Hg 0.583 0.750 0.122
7 Te 0.036 0.750 0.354
8 Te 0.264 0.750 0.936
9 Te 0.407 0.250 0.633
10 Te 0.593 0.750 0.367
11 Te 0.736 0.250 0.064
12 Te 0.964 0.250 0.646

Computed properties:
For the uncorrected energy, the calculation gives -42.215 eV for the cell shown. Its total magnetization is 0.00 μB/cell.

=====

# 15
Material: Tb2ThCd
Method: DFT, GGA-PBE
State: optimized geometry

Lattice parameters (Å, degrees): 3.603 3.603 8.894 90.00 90.00 90.00
Sites, in units of the cell vectors:
1 Tb 0.000 0.000 0.231
2 Tb 0.000 0.000 0.769
3 Th 0.500 0.500 0.500
4 Cd 0.500 0.500 0.000

Computed properties:
Its total magnetization is 0.00 μB/cell. The calculation puts the energy of formation at -180 meV per atom.

=====

# 16
Material: KZnPt
Method: DFT, GGA-PBE
State: optimized geometry

Lattice parameters (Å, degrees): 4.762 4.762 4.762 60.00 60.00 60.00
Sites, in units of the cell vectors:
1 K 0.000 0.000 0.000
2 Zn 0.500 0.500 0.500
3 Pt 0.250 0.250 0.250

Computed properties:
For the uncorrected energy, the calculation gives -7.749 eV for the cell shown. Its total magnetization is 0.00 μB/cell.

=====

# 17
Material: PaTaSi
Method: DFT, GGA-PBE
State: optimized geometry

Lattice parameters (Å, degrees): 4.622 4.622 4.622 60.00 60.00 60.00
Sites, in units of the cell vectors:
1 Pa 0.000 0.000 0.000
2 Ta 0.250 0.250 0.250
3 Si 0.750 0.750 0.750

Computed properties:
For the uncorrected energy, the calculation gives -23.605 eV for the cell shown. Its total magnetization is 0.01 μB/cell.

=====

# 18
Material: HfGaCuW
Method: DFT, GGA-PBE
State: optimized geometry

Lattice parameters (Å, degrees): 4.533 4.533 4.533 60.00 60.00 60.00
Sites, in units of the cell vectors:
1 Hf 0.000 0.000 0.000
2 Ga 0.500 0.500 0.500
3 Cu 0.750 0.750 0.750
4 W 0.250 0.250 0.250

Computed properties:
For the uncorrected energy, the calculation gives -28.530 eV for the cell shown. Its total magnetization is 0.00 μB/cell.

=====

# 19
Material: GaIr2Os
Method: DFT, GGA-PBE
State: optimized geometry

Lattice parameters (Å, degrees): 4.365 4.365 4.365 60.00 60.00 60.00
Sites, in units of the cell vectors:
1 Ga 0.000 0.000 0.000
2 Ir 0.500 0.500 0.500
3 Ir 0.750 0.750 0.750
4 Os 0.250 0.250 0.250

Computed properties:
For the uncorrected energy, the calculation gives -30.900 eV for the cell shown. Its total magnetization is 0.09 μB/cell.

=====

# 20
Material: PrTmTl2Pt4
Method: DFT, GGA-PBE
State: optimized geometry

Lattice parameters (Å, degrees): 4.663 4.663 9.080 90.00 90.00 120.00
Sites, in units of the cell vectors:
1 Pr 0.000 0.000 0.000
2 Tm 0.333 0.667 0.500
3 Tl 0.667 0.333 0.256
4 Tl 0.667 0.333 0.744
5 Pt 0.000 0.000 0.349
6 Pt 0.000 0.000 0.651
7 Pt 0.333 0.667 0.162
8 Pt 0.333 0.667 0.838

Computed properties:
For the uncorrected energy, the calculation gives -43.938 eV for the cell shown. Its total magnetization is 0.01 μB/cell.

=====

# 21
Material: BeAlFeRe
Method: DFT, GGA-PBE
State: optimized geometry

Lattice parameters (Å, degrees): 4.097 4.097 4.097 60.00 60.00 60.00
Sites, in units of the cell vectors:
1 Be 0.000 0.000 0.000
2 Al 0.500 0.500 0.500
3 Fe 0.750 0.750 0.750
4 Re 0.250 0.250 0.250

Computed properties:
For the uncorrected energy, the calculation gives -27.918 eV for the cell shown. Its total magnetization is 2.60 μB/cell.

=====

# 22
Material: PrNdCl2O2
Method: DFT, GGA-PBE
State: optimized geometry

Lattice parameters (Å, degrees): 4.068 4.068 6.811 90.00 90.00 90.00
Sites, in units of the cell vectors:
1 Pr 0.000 0.000 0.000
2 Nd 0.500 0.500 0.650
3 Cl 0.000 0.000 0.452
4 Cl 0.500 0.500 0.196
5 O 0.000 0.500 0.822
6 O 0.500 0.000 0.822

Computed properties:
For the uncorrected energy, the calculation gives -41.313 eV for the cell shown. Its total magnetization is 0.00 μB/cell.

=====

# 23
Material: RbBiIr
Method: DFT, GGA-PBE
State: optimized geometry

Lattice parameters (Å, degrees): 5.116 5.116 5.116 60.00 60.00 60.00
Sites, in units of the cell vectors:
1 Rb 0.000 0.000 0.000
2 Bi 0.750 0.750 0.750
3 Ir 0.250 0.250 0.250

Computed properties:
For the uncorrected energy, the calculation gives -8.754 eV for the cell shown. Its total magnetization is 0.01 μB/cell.

=====

# 24
Material: HoCoGe
Method: DFT, GGA-PBE
State: optimized geometry

Lattice parameters (Å, degrees): 4.555 4.555 4.555 60.00 60.00 60.00
Sites, in units of the cell vectors:
1 Ho 0.000 0.000 0.000
2 Co 0.750 0.750 0.750
3 Ge 0.250 0.250 0.250

Computed properties:
For the uncorrected energy, the calculation gives -15.072 eV for the cell shown. Its total magnetization is 1.21 μB/cell.

=====

# 25
Material: KHoNO
Method: DFT, GGA-PBE
State: optimized geometry

Lattice parameters (Å, degrees): 3.652 7.359 6.364 90.00 90.00 90.00
Sites, in units of the cell vectors:
1 K 0.000 0.157 0.000
2 K 0.000 0.843 0.500
3 Ho 0.500 0.337 0.492
4 Ho 0.500 0.663 0.992
5 N 0.500 0.392 0.836
6 N 0.500 0.608 0.336
7 O 0.000 0.196 0.422
8 O 0.000 0.804 0.922

Computed properties:
For the uncorrected energy, the calculation gives -48.165 eV for the cell shown. Its total magnetization is 2.00 μB/cell.

=====

# 26
Material: Lu2GeOs
Method: DFT, GGA-PBE
State: optimized geometry

Lattice parameters (Å, degrees): 4.712 4.712 4.712 60.00 60.00 60.00
Sites, in units of the cell vectors:
1 Lu 0.000 0.000 0.000
2 Lu 0.250 0.250 0.250
3 Ge 0.500 0.500 0.500
4 Os 0.750 0.750 0.750

Computed properties:
For the uncorrected energy, the calculation gives -25.686 eV for the cell shown. Its total magnetization is 0.00 μB/cell.

=====

# 27
Material: KPa
Method: DFT, GGA-PBE
State: optimized geometry

Lattice parameters (Å, degrees): 3.227 3.227 7.270 90.00 90.00 120.00
Sites, in units of the cell vectors:
1 K 0.000 0.000 0.000
2 Pa 0.667 0.333 0.500

Computed properties:
For the uncorrected energy, the calculation gives -8.826 eV for the cell shown. Its total magnetization is 0.04 μB/cell.

=====

# 28
Material: PdF
Method: DFT, GGA-PBE
State: optimized geometry

Lattice parameters (Å, degrees): 3.603 3.603 3.603 60.00 60.00 60.00
Sites, in units of the cell vectors:
1 Pd 0.000 0.000 0.000
2 F 0.250 0.250 0.250

Computed properties:
For the uncorrected energy, the calculation gives -7.225 eV for the cell shown.